## Mn2V8Cr (GGA-PBE)

Data for a geometry-optimized Mn2V8Cr structure.

abc: 4.8387 5.7332 5.7332
angles: 91.05 83.07 83.07
Positions (direct):
1 Mn 0.4578 0.8644 0.8644
2 Mn 0.5422 0.1356 0.1356
3 V 0.2817 0.3913 0.9153
4 V 0.7183 0.6087 0.0847
5 V 0.6576 0.5821 0.5821
6 V 0.9485 0.2893 0.2893
7 V 0.3424 0.4179 0.4179
8 V 0.2817 0.9153 0.3913
9 V 0.7183 0.0847 0.6087
10 V 0.0515 0.7107 0.7107
11 Cr 0.0000 0.0000 0.0000

Summary:
Calculated density: 6.04 g cm⁻³
Space group: C2/m (12)
Crystal system: monoclinic
D(E_F): 1.1078 states/eV per atom
Magnetization: 0.000 μB/atom
Final energy: -8.65 eV per atom

## CaMoN3 (GGA-PBE)

Data for a geometry-optimized CaMoN3 structure.

abc: 3.4978 3.4978 11.2415
angles: 81.05 81.05 90.00
Positions (direct):
1 Ca 0.0000 0.0000 0.0000
2 Ca 0.2500 0.7500 0.5000
3 N 0.2191 0.9026 0.1947
4 N 0.6781 0.6781 0.6438
5 N 0.0974 0.7809 0.8053
6 N 0.3219 0.3219 0.3562
7 N 0.0974 0.4138 0.8053
8 N 0.5862 0.9026 0.1947
9 Mo 0.8690 0.3690 0.2621
10 Mo 0.6310 0.1310 0.7379

Summary:
Calculated density: 4.41 g cm⁻³
Formation energy (no corrections): -0.1252 eV/atom
Space group: I-4m2 (119)
Crystal system: tetragonal
D(E_F): 0.6024 states/eV per atom
Magnetization: 0.000 μB/atom

## Sm4Al3Hg (GGA-PBE)

Data for a geometry-optimized Sm4Al3Hg structure.

abc: 3.6633 3.6633 15.2114
angles: 90.00 90.00 90.00
Positions (direct):
1 Hg 0.5000 0.5000 0.0000
2 Sm 0.0000 0.0000 0.1343
3 Sm 0.0000 0.0000 0.3790
4 Sm 0.0000 0.0000 0.8657
5 Sm 0.0000 0.0000 0.6210
6 Al 0.5000 0.5000 0.7448
7 Al 0.5000 0.5000 0.5000
8 Al 0.5000 0.5000 0.2552

Summary:
Calculated density: 7.18 g cm⁻³
Space group: P4/mmm (123)
Crystal system: tetragonal
D(E_F): 0.5194 states/eV per atom
Magnetization: 0.000 μB/atom
Final energy: -4.20 eV per atom

## TlCoAu2 (GGA-PBE)

Data for a geometry-optimized TlCoAu2 structure.

abc: 5.2653 5.2653 5.2653
angles: 134.86 134.86 65.75
Positions (direct):
1 Co 0.2500 0.7500 0.5000
2 Au 0.5000 0.5000 0.0000
3 Au 0.0000 0.0000 0.0000
4 Tl 0.7500 0.2500 0.5000

Summary:
Calculated density: 15.11 g cm⁻³
Space group: I4/mmm (139)
Crystal system: tetragonal
D(E_F): 1.1946 states/eV per atom
Magnetization: 0.399 μB/atom
Final energy: -3.65 eV per atom

## CsMoS2N (GGA-PBE)

Data for a geometry-optimized CsMoS2N structure.

abc: 5.0128 5.0128 3.9752
angles: 90.00 90.00 90.00
Positions (direct):
1 S 0.5000 0.0000 0.0000
2 S 0.0000 0.5000 0.0000
3 Mo 0.0000 0.0000 0.0000
4 N 0.0000 0.0000 0.5000
5 Cs 0.5000 0.5000 0.5000

Summary:
Calculated density: 5.10 g cm⁻³
Formation energy (no corrections): -0.1894 eV/atom
Space group: P4/mmm (123)
Crystal system: tetragonal
D(E_F): 0.6696 states/eV per atom
Magnetization: 0.000 μB/atom

## KTcIr2 (GGA-PBE)

Data for a geometry-optimized KTcIr2 structure.

abc: 7.5093 7.5093 6.0716
angles: 51.80 51.80 90.00
Positions (direct):
1 K 0.2500 0.7500 0.5000
2 K 0.5000 0.5000 0.0000
3 Ir 0.8750 0.9436 0.7500
4 Ir 0.0564 0.6250 0.2500
5 Ir 0.6936 0.1250 0.2500
6 Ir 0.3750 0.3064 0.7500
7 Tc 0.0000 0.0000 0.0000
8 Tc 0.7500 0.2500 0.5000

Summary:
Calculated density: 10.43 g cm⁻³
Space group: I-42d (122)
Crystal system: tetragonal
D(E_F): 0.8664 states/eV per atom
Magnetization: 0.000 μB/atom
Final energy: -6.19 eV per atom

## Y2Ti2Nb (GGA-PBE)

Data for a geometry-optimized Y2Ti2Nb structure.

abc: 6.8793 6.8793 4.9567
angles: 90.00 90.00 90.00
Positions (direct):
1 Y 0.3274 0.1726 0.5000
2 Y 0.8274 0.3274 0.5000
3 Y 0.1726 0.6726 0.5000
4 Y 0.6726 0.8274 0.5000
5 Nb 0.5000 0.5000 0.0000
6 Nb 0.0000 0.0000 0.0000
7 Ti 0.8586 0.6414 0.0000
8 Ti 0.6414 0.1414 0.0000
9 Ti 0.3586 0.8586 0.0000
10 Ti 0.1414 0.3586 0.0000

Summary:
Calculated density: 5.19 g cm⁻³
Space group: P4/mbm (127)
Crystal system: tetragonal
D(E_F): 1.3301 states/eV per atom
Magnetization: 0.000 μB/atom
Final energy: -7.45 eV per atom

## RbTl2AsBr6 (GGA-PBE)

Data for a geometry-optimized RbTl2AsBr6 structure.

abc: 8.1620 8.1630 8.3448
angles: 60.71 60.72 59.97
Positions (direct):
1 Rb 0.8154 0.8153 0.5537
2 Br 0.1336 0.4202 0.7867
3 Br 0.9981 0.5417 0.2402
4 Br 0.2197 0.9986 0.2410
5 Br 0.6595 0.1329 0.7872
6 Br 0.4205 0.6594 0.7865
7 Br 0.5411 0.2202 0.2405
8 Tl 0.5288 0.5286 0.4141
9 Tl 0.0202 0.0201 0.9397
10 As 0.3248 0.3247 0.0256

Summary:
Calculated density: 4.38 g cm⁻³
Formation energy (no corrections): -0.8489 eV/atom
Space group: R3 (146)
Crystal system: trigonal
D(E_F): 0.0000 states/eV per atom
Magnetization: 0.000 μB/atom